1.
# CeSmThTc | Alexandria via LeMat-Bulk | GGA-PBE | relaxed
data_CeSmThTc
_cell_length_a 3.842
_cell_length_b 3.842
_cell_length_c 8.277
_cell_angle_alpha 93.81
_cell_angle_beta 109.70
_cell_angle_gamma 97.49
_symmetry_space_group_name_H-M 'P 1'
_symmetry_Int_Tables_number 1
loop_
_symmetry_equiv_pos_as_xyz
'x,y,z'
loop_
_atom_site_label
_atom_site_fract_x
_atom_site_fract_y
_atom_site_fract_z
_atom_site_occupancy
Sm1 0.324 0.188 0.512 1
Th1 0.049 0.759 0.808 1
Ce1 0.583 0.607 0.190 1
Tc1 0.736 0.250 0.987 1
# Space group ... No. 8
# Calculated formation energy ... 0.051 eV per atom
# Size of the total moment ... 0.00 μB per formula unit

---

2.
# MgPbSe2O6 | Alexandria via LeMat-Bulk | GGA-PBE | relaxed
data_MgPbSe2O6
_cell_length_a 5.435
_cell_length_b 5.435
_cell_length_c 6.621
_cell_angle_alpha 65.77
_cell_angle_beta 65.77
_cell_angle_gamma 60.00
_symmetry_space_group_name_H-M 'P 1'
_symmetry_Int_Tables_number 1
loop_
_symmetry_equiv_pos_as_xyz
'x,y,z'
loop_
_atom_site_label
_atom_site_fract_x
_atom_site_fract_y
_atom_site_fract_z
_atom_site_occupancy
O1 0.076 0.487 0.709 1
O2 0.487 0.729 0.709 1
O3 0.271 0.924 0.291 1
Se1 0.726 0.726 0.821 1
Pb1 0.000 0.000 0.000 1
Se2 0.274 0.274 0.179 1
O4 0.513 0.271 0.291 1
O5 0.924 0.513 0.291 1
O6 0.729 0.076 0.709 1
Mg1 0.500 0.500 0.500 1
# Space group ... No. 148
# Energy relative to the elements, uncorrected ... -1.20 eV per atom
# Size of the total moment ... 0.00 μB per formula unit

---

no.,raw total energy (eV/atom)
1,-7.059
2,-5.401